Record 1
A relaxed Tm4PtPb2 crystal, computed with PBE-GGA.

a = 6.9750 Å, b = 6.6531 Å, c = 8.5320 Å
α = 90.00°, β = 104.61°, γ = 90.00°
Fractional positions:
Tm (0.1523, 0.0084, 0.2899)
Tm (0.1523, 0.4916, 0.2899)
Tm (0.3030, 0.2500, 0.9228)
Tm (0.3117, 0.7500, 0.6652)
Tm (0.6883, 0.2500, 0.3348)
Tm (0.6970, 0.7500, 0.0772)
Tm (0.8477, 0.5084, 0.7101)
Tm (0.8477, 0.9916, 0.7101)
Pt (0.0548, 0.2500, 0.5684)
Pt (0.9452, 0.7500, 0.4316)
Pb (0.1851, 0.7500, 0.9813)
Pb (0.4578, 0.2500, 0.6047)
Pb (0.5422, 0.7500, 0.3953)
Pb (0.8149, 0.2500, 0.0187)

Computed properties:
- Formation energy from the elements: -0.57 eV per atom
- Theoretical density: 11.14 g/cm3
- Energy: -5.052 eV per atom
- Magnetization: 0.0 μB per formula unit

Record 2
A relaxed TmCd2Hg8 crystal, computed with PBE-GGA.

a = 8.0573 Å, b = 8.0573 Å, c = 8.2427 Å
α = 120.63°, β = 120.63°, γ = 36.96°
Fractional positions:
Tm (0.0000, 0.0000, 0.0000)
Cd (0.2788, 0.2788, 0.2811)
Cd (0.7212, 0.7212, 0.7189)
Hg (0.1381, 0.1381, 0.4479)
Hg (0.1413, 0.1413, 0.8340)
Hg (0.3548, 0.3548, 0.8524)
Hg (0.4980, 0.4980, 0.3123)
Hg (0.5020, 0.5020, 0.6877)
Hg (0.6452, 0.6452, 0.1476)
Hg (0.8587, 0.8587, 0.1660)
Hg (0.8619, 0.8619, 0.5521)

Computed properties:
- Formation energy from the elements: -0.09 eV per atom
- Theoretical density: 12.23 g/cm3
- Energy: -0.886 eV per atom
- Magnetization: 0.0 μB per formula unit

Record 3
A relaxed NdGdCl2 crystal, computed with PBE-GGA.

a = 9.8721 Å, b = 9.8721 Å, c = 9.8721 Å
α = 21.35°, β = 21.35°, γ = 21.35°
Fractional positions:
Nd (0.0000, 0.0000, 0.0000)
Gd (0.5000, 0.5000, 0.5000)
Cl (0.4044, 0.4044, 0.4044)
Cl (0.5956, 0.5956, 0.5956)

Computed properties:
- Formation energy (no corrections): -1.34 eV per atom
- Theoretical density: 5.53 g/cm3
- Energy: -6.976 eV per atom
- Magnetization: 7.2 μB per formula unit

Record 4
A relaxed PmPrSm2P4 crystal, computed with PBE-GGA.

a = 7.1693 Å, b = 7.1693 Å, c = 7.1693 Å
α = 131.85°, β = 131.85°, γ = 70.47°
Fractional positions:
Pm (0.0000, 0.0000, 0.0000)
Pr (0.5000, 0.5000, 0.0000)
Sm (0.2500, 0.7500, 0.5000)
Sm (0.7500, 0.2500, 0.5000)
P (0.0000, 0.5000, 0.5000)
P (0.2483, 0.2483, 0.0000)
P (0.5000, 0.0000, 0.5000)
P (0.7517, 0.7517, 0.0000)

Computed properties:
- Formation energy from the elements: -1.55 eV per atom
- Theoretical density: 5.89 g/cm3
- Energy: -6.630 eV per atom
- Magnetization: 0.0 μB per formula unit

Record 5
A relaxed CuSiTc2 crystal, computed with PBE-GGA.

a = 2.7424 Å, b = 3.8919 Å, c = 5.1966 Å
α = 90.00°, β = 99.02°, γ = 90.00°
Fractional positions:
Cu (0.0000, 0.0000, 0.0000)
Si (0.0000, 0.0000, 0.5000)
Tc (0.3657, 0.5000, 0.7458)
Tc (0.6343, 0.5000, 0.2542)

Computed properties:
- Formation energy (no corrections): 0.04 eV per atom
- Theoretical density: 8.72 g/cm3
- Energy: -7.521 eV per atom
- Magnetization: 0.0 μB per formula unit

Record 6
A relaxed SrPm3Cd6 crystal, computed with PBE-GGA.

a = 9.4991 Å, b = 5.3223 Å, c = 11.4615 Å
α = 90.00°, β = 106.25°, γ = 90.00°
Fractional positions:
Sr (0.0548, 0.2500, 0.3910)
Sr (0.9452, 0.7500, 0.6090)
Pm (0.2350, 0.2500, 0.0021)
Pm (0.3559, 0.7500, 0.7968)
Pm (0.4748, 0.2500, 0.6128)
Pm (0.5252, 0.7500, 0.3872)
Pm (0.6441, 0.2500, 0.2032)
Pm (0.7650, 0.7500, 0.9979)
Cd (0.0562, 0.7500, 0.9053)
Cd (0.1447, 0.7500, 0.1937)
Cd (0.1655, 0.2500, 0.7041)
Cd (0.2573, 0.7500, 0.5032)
Cd (0.3429, 0.2500, 0.2934)
Cd (0.4481, 0.7500, 0.0909)
Cd (0.5519, 0.2500, 0.9091)
Cd (0.6571, 0.7500, 0.7066)
Cd (0.7427, 0.2500, 0.4968)
Cd (0.8345, 0.7500, 0.2959)
Cd (0.8553, 0.2500, 0.8063)
Cd (0.9438, 0.2500, 0.0947)

Computed properties:
- Formation energy from the elements: -0.28 eV per atom
- Theoretical density: 7.15 g/cm3
- Energy: -2.418 eV per atom
- Magnetization: 0.2 μB per formula unit

Record 7
A relaxed Co2Ni6W crystal, computed with PBE-GGA.

a = 5.6760 Å, b = 5.6760 Å, c = 5.6319 Å
α = 107.60°, β = 107.60°, γ = 36.38°
Fractional positions:
Co (0.0546, 0.0546, 0.3368)
Co (0.9454, 0.9454, 0.6632)
Ni (0.1674, 0.1674, 0.0021)
Ni (0.2763, 0.2763, 0.6628)
Ni (0.3885, 0.3885, 0.3341)
Ni (0.6115, 0.6115, 0.6659)
Ni (0.7237, 0.7237, 0.3372)
Ni (0.8326, 0.8326, 0.9979)
W (0.5000, 0.5000, 0.0000)

Computed properties:
- Formation energy from the elements: -0.01 eV per atom
- Theoretical density: 10.64 g/cm3
- Energy: -6.881 eV per atom
- Magnetization: 3.4 μB per formula unit

Record 8
A relaxed Ba3Bi crystal, computed with PBE-GGA.

a = 8.2130 Å, b = 8.2130 Å, c = 8.2130 Å
α = 146.91°, β = 136.21°, γ = 55.97°
Fractional positions:
Ba (0.0000, 0.0000, 0.0000)
Ba (0.3127, 0.8127, 0.5000)
Ba (0.6873, 0.1873, 0.5000)
Bi (0.5000, 0.5000, 0.0000)

Computed properties:
- Formation energy from the elements: -0.47 eV per atom
- Theoretical density: 4.96 g/cm3
- Polymorph energy (0 for the lowest one): 22 meV per atom
- Energy: -2.883 eV per atom
- Magnetization: 0.3 μB per formula unit

Record 9
A relaxed Pm6Sn12Pt crystal, computed with PBE-GGA.

a = 8.1411 Å, b = 8.1411 Å, c = 8.1411 Å
α = 97.15°, β = 97.15°, γ = 97.15°
Fractional positions:
Pm (0.1799, 0.3170, 0.7476)
Pm (0.2524, 0.8201, 0.6830)
Pm (0.3170, 0.7476, 0.1799)
Pm (0.6830, 0.2524, 0.8201)
Pm (0.7476, 0.1799, 0.3170)
Pm (0.8201, 0.6830, 0.2524)
Sn (0.0123, 0.3397, 0.0828)
Sn (0.0828, 0.0123, 0.3397)
Sn (0.1523, 0.4914, 0.4132)
Sn (0.3397, 0.0828, 0.0123)
Sn (0.4132, 0.1523, 0.4914)
Sn (0.4914, 0.4132, 0.1523)
Sn (0.5086, 0.5868, 0.8477)
Sn (0.5868, 0.8477, 0.5086)
Sn (0.6603, 0.9172, 0.9877)
Sn (0.8477, 0.5086, 0.5868)
Sn (0.9172, 0.9877, 0.6603)
Sn (0.9877, 0.6603, 0.9172)
Pt (0.5000, 0.5000, 0.5000)

Computed properties:
- Formation energy from the elements: -0.56 eV per atom
- Theoretical density: 7.86 g/cm3
- Energy: -4.909 eV per atom
- Magnetization: 0.0 μB per formula unit

Record 10
A relaxed CaAgAs2 crystal, computed with PBE-GGA.

a = 3.2376 Å, b = 4.6058 Å, c = 5.8924 Å
α = 90.00°, β = 90.00°, γ = 90.00°
Fractional positions:
Ca (0.0000, 0.0000, 0.0000)
Ag (0.5000, 0.5000, 0.3789)
As (0.0000, 0.0000, 0.4921)
As (0.5000, 0.5000, 0.8740)

Computed properties:
- Formation energy from the elements: -0.22 eV per atom
- Theoretical density: 5.63 g/cm3
- Energy: -3.755 eV per atom
- Magnetization: 0.0 μB per formula unit

Record 11
A relaxed NaSiRh2 crystal, computed with PBE-GGA.

a = 2.8923 Å, b = 2.8923 Å, c = 7.4456 Å
α = 90.00°, β = 90.00°, γ = 90.00°
Fractional positions:
Na (0.0000, 0.0000, 0.0000)
Si (0.0000, 0.0000, 0.5000)
Rh (0.5000, 0.5000, 0.3110)
Rh (0.5000, 0.5000, 0.6890)

Computed properties:
- Formation energy (no corrections): -0.39 eV per atom
- Theoretical density: 6.85 g/cm3
- Energy: -5.747 eV per atom
- Magnetization: 0.0 μB per formula unit

Record 12
A relaxed Zr2Sn2Mo crystal, computed with PBE-GGA.

a = 7.2529 Å, b = 7.2529 Å, c = 4.0587 Å
α = 90.00°, β = 90.00°, γ = 90.00°
Fractional positions:
Zr (0.1678, 0.3322, 0.0000)
Zr (0.3322, 0.8322, 0.0000)
Zr (0.6678, 0.1678, 0.0000)
Zr (0.8322, 0.6678, 0.0000)
Sn (0.1389, 0.6389, 0.5000)
Sn (0.3611, 0.1389, 0.5000)
Sn (0.6389, 0.8611, 0.5000)
Sn (0.8611, 0.3611, 0.5000)
Mo (0.0000, 0.0000, 0.5000)
Mo (0.5000, 0.5000, 0.5000)

Computed properties:
- Formation energy from the elements: -0.24 eV per atom
- Theoretical density: 8.02 g/cm3
- Energy: -7.424 eV per atom
- Magnetization: 0.0 μB per formula unit